Computed, not measured: Tm2Si3PdPt4 after structural relaxation at the PBE level of DFT.

Cell lengths 3.976, 3.976, 11.089 Å; angles 90.00, 90.00, 90.00 degrees
Element x y z (fractional)
Tm  0.000  0.500  0.244
Tm  0.500  0.000  0.756
Si  0.000  0.000  0.000
Si  0.000  0.500  0.631
Si  0.500  0.000  0.369
Pd  0.500  0.500  0.000
Pt  0.000  0.000  0.500
Pt  0.000  0.500  0.838
Pt  0.500  0.000  0.162
Pt  0.500  0.500  0.500

Computed properties:
DOS(E_F) = 0.704 states/eV per atom
ΔE_f (raw) = -9.71 eV/f.u.
space group = No. 115
magnetization = 0.0000 μB per atom

Computed, not measured: Tm2Si4PdPt3 after structural relaxation at the PBE level of DFT.

Cell lengths 4.163, 4.163, 9.889 Å; angles 90.00, 90.00, 90.00 degrees
Element x y z (fractional)
Tm  0.000  0.500  0.249
Tm  0.500  0.000  0.751
Si  0.000  0.000  0.000
Si  0.000  0.500  0.634
Si  0.500  0.000  0.366
Si  0.500  0.500  0.000
Pd  0.000  0.000  0.500
Pt  0.000  0.500  0.874
Pt  0.500  0.000  0.126
Pt  0.500  0.500  0.500

Computed properties:
DOS(E_F) = 0.563 states/eV per atom
ΔE_f (raw) = -10.37 eV/f.u.
space group = No. 115
magnetization = 0.0000 μB per atom

Computed, not measured: TmSi2PdPt2 after structural relaxation at the PBE level of DFT.

Cell lengths 4.179, 4.179, 6.681 Å; angles 90.00, 90.00, 120.00 degrees
Element x y z (fractional)
Tm  0.000  0.000  0.000
Si  0.333  0.667  0.310
Si  0.667  0.333  0.690
Pd  0.000  0.000  0.500
Pt  0.333  0.667  0.717
Pt  0.667  0.333  0.283

Computed properties:
DOS(E_F) = 0.256 states/eV per atom
ΔE_f (raw) = -5.81 eV/f.u.
space group = No. 164
magnetization = 0.0000 μB per atom

Computed, not measured: U2Si4Pd3Pt after structural relaxation at the PBE level of DFT.

Cell lengths 4.188, 4.188, 9.890 Å; angles 90.00, 90.00, 90.00 degrees
Element x y z (fractional)
U  0.000  0.500  0.247
U  0.500  0.000  0.753
Si  0.000  0.000  0.000
Si  0.000  0.500  0.636
Si  0.500  0.000  0.364
Si  0.500  0.500  0.000
Pd  0.000  0.500  0.877
Pd  0.500  0.000  0.123
Pd  0.500  0.500  0.500
Pt  0.000  0.000  0.500

Computed properties:
DOS(E_F) = 1.949 states/eV per atom
ΔE_f (raw) = -6.00 eV/f.u.
space group = No. 115
magnetization = 0.4543 μB per atom

Computed, not measured: U2Si3PdPt4 after structural relaxation at the PBE level of DFT.

Cell lengths 3.974, 3.974, 11.194 Å; angles 90.00, 90.00, 90.00 degrees
Element x y z (fractional)
U  0.000  0.500  0.249
U  0.500  0.000  0.751
Si  0.000  0.000  0.000
Si  0.000  0.500  0.628
Si  0.500  0.000  0.372
Pd  0.500  0.500  0.000
Pt  0.000  0.000  0.500
Pt  0.000  0.500  0.837
Pt  0.500  0.000  0.163
Pt  0.500  0.500  0.500

Computed properties:
DOS(E_F) = 1.738 states/eV per atom
ΔE_f (raw) = -6.89 eV/f.u.
space group = No. 115
magnetization = 0.4070 μB per atom

Computed, not measured: USi2PdPt after structural relaxation at the PBE level of DFT.

Cell lengths 5.890, 5.890, 5.890 Å; angles 139.53, 139.53, 58.56 degrees
Element x y z (fractional)
U  0.000  0.000  0.000
Si  0.388  0.388  0.000
Si  0.612  0.612  0.000
Pd  0.750  0.250  0.500
Pt  0.250  0.750  0.500

Computed properties:
DOS(E_F) = 1.589 states/eV per atom
ΔE_f (raw) = -3.44 eV/f.u.
space group = No. 119
magnetization = 0.4360 μB per atom

Computed, not measured: Y2Si4Pd3Pt after structural relaxation at the PBE level of DFT.

Cell lengths 4.181, 4.181, 9.940 Å; angles 90.00, 90.00, 90.00 degrees
Element x y z (fractional)
Y  0.000  0.500  0.247
Y  0.500  0.000  0.753
Si  0.000  0.000  0.000
Si  0.000  0.500  0.633
Si  0.500  0.000  0.367
Si  0.500  0.500  0.000
Pd  0.000  0.500  0.874
Pd  0.500  0.000  0.126
Pd  0.500  0.500  0.500
Pt  0.000  0.000  0.500

Computed properties:
DOS(E_F) = 0.535 states/eV per atom
ΔE_f (raw) = -9.32 eV/f.u.
space group = No. 115
magnetization = 0.0000 μB per atom

Computed, not measured: YSi2PdPt2 after structural relaxation at the PBE level of DFT.

Cell lengths 4.190, 4.190, 6.772 Å; angles 90.00, 90.00, 120.00 degrees
Element x y z (fractional)
Y  0.000  0.000  0.000
Si  0.333  0.667  0.314
Si  0.667  0.333  0.686
Pd  0.000  0.000  0.500
Pt  0.333  0.667  0.713
Pt  0.667  0.333  0.287

Computed properties:
DOS(E_F) = 0.190 states/eV per atom
ΔE_f (raw) = -5.89 eV/f.u.
space group = No. 164
magnetization = 0.0000 μB per atom

Computed, not measured: YSi2Pd2Pt after structural relaxation at the PBE level of DFT.

Cell lengths 4.572, 4.572, 5.603 Å; angles 90.00, 90.00, 90.00 degrees
Element x y z (fractional)
Y  0.000  0.000  0.000
Si  0.000  0.500  0.500
Si  0.500  0.000  0.500
Pd  0.500  0.500  0.248
Pd  0.500  0.500  0.752
Pt  0.000  0.000  0.500

Computed properties:
DOS(E_F) = 0.673 states/eV per atom
ΔE_f (raw) = -2.61 eV/f.u.
space group = No. 123
magnetization = 0.0000 μB per atom

Computed, not measured: Y3Si6Pd2Pt after structural relaxation at the PBE level of DFT.

Cell lengths 5.517, 5.517, 8.430 Å; angles 90.00, 90.00, 120.00 degrees
Element x y z (fractional)
Y  0.000  0.000  0.000
Y  0.333  0.667  0.592
Y  0.667  0.333  0.408
Si  0.183  0.365  0.279
Si  0.183  0.817  0.279
Si  0.365  0.183  0.721
Si  0.635  0.817  0.279
Si  0.817  0.183  0.721
Si  0.817  0.635  0.721
Pd  0.333  0.667  0.035
Pd  0.667  0.333  0.965
Pt  0.000  0.000  0.500

Computed properties:
DOS(E_F) = 0.302 states/eV per atom
ΔE_f (raw) = -6.42 eV/f.u.
space group = No. 164
magnetization = 0.0000 μB per atom

Computed, not measured: Y2Si4PdPt3 after structural relaxation at the PBE level of DFT.

Cell lengths 4.203, 4.203, 9.859 Å; angles 90.00, 90.00, 90.00 degrees
Element x y z (fractional)
Y  0.000  0.500  0.247
Y  0.500  0.000  0.753
Si  0.000  0.000  0.000
Si  0.000  0.500  0.633
Si  0.500  0.000  0.367
Si  0.500  0.500  0.000
Pd  0.000  0.000  0.500
Pt  0.000  0.500  0.876
Pt  0.500  0.000  0.124
Pt  0.500  0.500  0.500

Computed properties:
DOS(E_F) = 0.557 states/eV per atom
ΔE_f (raw) = -10.75 eV/f.u.
space group = No. 115
magnetization = 0.0000 μB per atom

Computed, not measured: Y2SiPdPt6 after structural relaxation at the PBE level of DFT.

Cell lengths 5.319, 6.273, 6.436 Å; angles 80.35, 71.12, 67.59 degrees
Element x y z (fractional)
Y  0.015  0.240  0.278
Y  0.985  0.760  0.722
Si  0.500  0.500  0.000
Pd  0.500  0.000  0.500
Pt  0.001  0.713  0.243
Pt  0.361  0.902  0.924
Pt  0.496  0.352  0.685
Pt  0.504  0.648  0.315
Pt  0.639  0.098  0.076
Pt  0.999  0.287  0.757

Computed properties:
DOS(E_F) = 0.463 states/eV per atom
ΔE_f (raw) = -7.97 eV/f.u.
space group = No. 2
magnetization = 0.0000 μB per atom

Computed, not measured: ZnSiPdPt after structural relaxation at the PBE level of DFT.

Cell lengths 4.331, 4.331, 4.331 Å; angles 60.00, 60.00, 60.00 degrees
Element x y z (fractional)
Zn  0.000  0.000  0.000
Si  0.500  0.500  0.500
Pd  0.750  0.750  0.750
Pt  0.250  0.250  0.250

Computed properties:
DOS(E_F) = 0.492 states/eV per atom
ΔE_f (raw) = -1.85 eV/f.u.
space group = No. 216
magnetization = 0.0000 μB per atom

Computed, not measured: Zr2Si4PdPt3 after structural relaxation at the PBE level of DFT.

Cell lengths 4.122, 4.122, 9.699 Å; angles 90.00, 90.00, 90.00 degrees
Element x y z (fractional)
Zr  0.000  0.500  0.245
Zr  0.500  0.000  0.755
Si  0.000  0.000  0.000
Si  0.000  0.500  0.635
Si  0.500  0.000  0.365
Si  0.500  0.500  0.000
Pd  0.000  0.000  0.500
Pt  0.000  0.500  0.876
Pt  0.500  0.000  0.124
Pt  0.500  0.500  0.500

Computed properties:
DOS(E_F) = 0.465 states/eV per atom
ΔE_f (raw) = -8.75 eV/f.u.
space group = No. 115
magnetization = 0.0000 μB per atom

Computed, not measured: Sm4Pd3Pt3 after structural relaxation at the PBE level of DFT.

Cell lengths 8.258, 8.258, 8.258 Å; angles 109.47, 109.47, 109.47 degrees
Element x y z (fractional)
Sm  0.000  0.246  0.500
Sm  0.000  0.746  0.500
Sm  0.246  0.500  0.000
Sm  0.254  0.254  0.254
Sm  0.500  0.000  0.246
Sm  0.500  0.000  0.746
Sm  0.746  0.500  0.000
Sm  0.754  0.754  0.754
Pd  0.125  0.875  0.250
Pd  0.250  0.125  0.875
Pd  0.375  0.625  0.750
Pd  0.625  0.750  0.375
Pd  0.750  0.375  0.625
Pd  0.875  0.250  0.125
Pt  0.125  0.750  0.875
Pt  0.250  0.625  0.375
Pt  0.375  0.250  0.625
Pt  0.625  0.375  0.250
Pt  0.750  0.875  0.125
Pt  0.875  0.125  0.750

Computed properties:
DOS(E_F) = 0.427 states/eV per atom
space group = No. 220
formation energy from the elements = -0.802 eV per atom
magnetization = 0.0000 μB per atom

Computed, not measured: Sm2PdPt3 after structural relaxation at the PBE level of DFT.

Cell lengths 7.193, 4.010, 17.163 Å; angles 90.00, 90.00, 90.00 degrees
Element x y z (fractional)
Sm  0.062  0.250  0.208
Sm  0.154  0.250  0.433
Sm  0.346  0.750  0.933
Sm  0.438  0.750  0.708
Sm  0.562  0.250  0.292
Sm  0.654  0.250  0.067
Sm  0.846  0.750  0.567
Sm  0.938  0.750  0.792
Pd  0.002  0.750  0.069
Pd  0.498  0.250  0.569
Pd  0.502  0.750  0.431
Pd  0.998  0.250  0.931
Pt  0.132  0.250  0.652
Pt  0.246  0.750  0.551
Pt  0.247  0.750  0.308
Pt  0.253  0.250  0.808
Pt  0.254  0.250  0.051
Pt  0.368  0.750  0.152
Pt  0.632  0.250  0.848
Pt  0.746  0.750  0.949
Pt  0.747  0.750  0.192
Pt  0.753  0.250  0.692
Pt  0.754  0.250  0.449
Pt  0.868  0.750  0.348

Computed properties:
DOS(E_F) = 0.554 states/eV per atom
space group = No. 62
ΔE to the lowest computed polymorph = 0 meV/atom
formation energy from the elements = -0.953 eV per atom
magnetization = 0.0000 μB per atom

Computed, not measured: Sm3Pd2Pt after structural relaxation at the PBE level of DFT.

Cell lengths 7.299, 7.299, 7.299 Å; angles 64.55, 64.55, 64.55 degrees
Element x y z (fractional)
Sm  0.088  0.750  0.412
Sm  0.250  0.588  0.912
Sm  0.412  0.088  0.750
Sm  0.588  0.912  0.250
Sm  0.750  0.412  0.088
Sm  0.912  0.250  0.588
Pd  0.168  0.168  0.168
Pd  0.332  0.332  0.332
Pd  0.668  0.668  0.668
Pd  0.832  0.832  0.832
Pt  0.000  0.000  0.000
Pt  0.500  0.500  0.500

Computed properties:
DOS(E_F) = 0.572 states/eV per atom
space group = No. 167
formation energy from the elements = -0.893 eV per atom
magnetization = 0.0000 μB per atom

Computed, not measured: Sm2PdPt after structural relaxation at the PBE level of DFT.

Cell lengths 5.093, 5.093, 3.510 Å; angles 90.00, 90.00, 90.00 degrees
Element x y z (fractional)
Sm  0.000  0.500  0.000
Sm  0.500  0.000  0.000
Pd  0.000  0.000  0.500
Pt  0.500  0.500  0.500

Computed properties:
DOS(E_F) = 0.662 states/eV per atom
space group = No. 123
formation energy from the elements = -0.957 eV per atom
magnetization = 0.0000 μB per atom

Computed, not measured: Sm2Pd4Pt after structural relaxation at the PBE level of DFT.

Cell lengths 6.220, 6.220, 9.319 Å; angles 90.00, 90.00, 51.63 degrees
Element x y z (fractional)
Sm  0.144  0.144  0.000
Sm  0.356  0.356  0.500
Sm  0.644  0.644  0.500
Sm  0.856  0.856  0.000
Pd  0.001  0.499  0.750
Pd  0.249  0.751  0.750
Pd  0.251  0.749  0.250
Pd  0.499  0.001  0.250
Pd  0.501  0.999  0.750
Pd  0.749  0.251  0.750
Pd  0.751  0.249  0.250
Pd  0.999  0.501  0.250
Pt  0.000  0.000  0.500
Pt  0.500  0.500  0.000

Computed properties:
DOS(E_F) = 0.725 states/eV per atom
space group = No. 64
formation energy from the elements = -0.538 eV per atom
magnetization = 0.0000 μB per atom

Computed, not measured: SmPd4Pt after structural relaxation at the PBE level of DFT.

Cell lengths 5.322, 5.322, 5.322 Å; angles 60.00, 60.00, 60.00 degrees
Element x y z (fractional)
Sm  0.000  0.000  0.000
Pd  0.376  0.376  0.376
Pd  0.376  0.376  0.872
Pd  0.376  0.872  0.376
Pd  0.872  0.376  0.376
Pt  0.750  0.750  0.750

Computed properties:
DOS(E_F) = 1.367 states/eV per atom
space group = No. 216
ΔE to the lowest computed polymorph = 68 meV/atom
formation energy from the elements = -0.473 eV per atom
magnetization = 0.0000 μB per atom

Computed, not measured: Sm3Pd2Pt7 after structural relaxation at the PBE level of DFT.

Cell lengths 9.451, 9.451, 9.451 Å; angles 33.44, 33.44, 33.44 degrees
Element x y z (fractional)
Sm  0.000  0.000  0.000
Sm  0.139  0.139  0.139
Sm  0.861  0.861  0.861
Pd  0.333  0.333  0.333
Pd  0.667  0.667  0.667
Pt  0.081  0.587  0.587
Pt  0.413  0.413  0.919
Pt  0.413  0.919  0.413
Pt  0.500  0.500  0.500
Pt  0.587  0.081  0.587
Pt  0.587  0.587  0.081
Pt  0.919  0.413  0.413

Computed properties:
DOS(E_F) = 0.839 states/eV per atom
space group = No. 166
formation energy from the elements = -0.912 eV per atom
magnetization = 0.0000 μB per atom

Computed, not measured: Sm2Pd7Pt3 after structural relaxation at the PBE level of DFT.

Cell lengths 4.702, 5.105, 10.340 Å; angles 96.52, 100.32, 112.79 degrees
Element x y z (fractional)
Sm  0.017  0.269  0.256
Sm  0.983  0.731  0.744
Pd  0.000  0.500  0.000
Pd  0.303  0.876  0.246
Pd  0.327  0.720  0.517
Pd  0.411  0.438  0.867
Pd  0.589  0.562  0.133
Pd  0.673  0.280  0.483
Pd  0.697  0.124  0.754
Pt  0.189  0.212  0.605
Pt  0.500  0.000  0.000
Pt  0.811  0.788  0.395

Computed properties:
DOS(E_F) = 0.846 states/eV per atom
space group = No. 2
formation energy from the elements = -0.466 eV per atom
magnetization = 0.0000 μB per atom